This record from Alexandria describes a geometry-optimized CaCu3Pb structure. The functional is PBE-GGA.

a b c (Å): 4.9599 4.9599 4.9599
angles (deg): 90.00 90.00 90.00
Closest atoms and distances in Å follow each position.
Space group Pm-3m (No. 221)
Asymmetric unit:
Ca 0.0000 0.0000 0.0000  12 Cu 3.51
Cu 0.0000 0.5000 0.5000  2 Pb 2.48
Pb 0.5000 0.5000 0.5000  6 Cu 2.48

**Total DFT energy (no corrections)**: -3.177 eV/atom
**Distance to the lowest polymorph of the same formula**: 0.000 eV per atom



This record from Alexandria describes a geometry-optimized CaCu2Pb2 structure. The functional is PBE-GGA.

a b c (Å): 8.2604 8.2604 3.4031
angles (deg): 90.00 90.00 90.00
Closest atoms and distances in Å follow each position.
Space group P4/mbm (No. 127)
Asymmetric unit:
Ca 0.0000 0.0000 0.0000  4 Pb 3.17, 2 Ca 3.40
Cu 0.1496 0.3504 0.5000  6 Pb 2.96
Pb 0.1435 0.6435 0.0000  6 Cu 2.96, 2 Ca 3.17

**Total DFT energy (no corrections)**: -3.421 eV/atom



This record from Alexandria describes a geometry-optimized Ca2Cu2Pb structure. The functional is PBE-GGA.

a b c (Å): 3.5324 3.5324 19.1118
angles (deg): 90.00 90.00 90.00
Closest atoms and distances in Å follow each position.
Space group I4/mmm (No. 139)
Asymmetric unit:
Ca 0.0000 0.0000 0.1210  4 Cu 3.03
Cu 0.0000 0.5000 0.2500  4 Cu 2.50
Pb 0.0000 0.0000 0.5000  8 Ca 3.40, 4 Pb 3.53

**Total DFT energy (no corrections)**: -3.359 eV/atom



This record from Alexandria describes a geometry-optimized Ca2CuPb structure. The functional is PBE-GGA.

a b c (Å): 3.7000 5.3816 5.3832
angles (deg): 90.00 90.00 90.00
Closest atoms and distances in Å follow each position.
Space group Pm (No. 6)
Asymmetric unit:
Ca 0.0000 0.0000 0.0000  4 Cu 3.24-3.29, 4 Pb 3.27
Ca 0.9999 0.5000 0.4962  4 Pb 3.26-3.27, 4 Cu 3.26-3.27
Cu 0.4982 0.0000 0.5051  8 Ca 3.24-3.29
Pb 0.5001 0.5000 0.9950  8 Ca 3.26-3.27

**Total DFT energy (no corrections)**: -3.239 eV/atom



This record from Alexandria describes a geometry-optimized Ca2CuPb structure. The functional is PBE-GGA.

a b c (Å): 7.4438 7.4438 7.4438
angles (deg): 90.00 90.00 90.00
Closest atoms and distances in Å follow each position.
Space group F-43m (No. 216)
Asymmetric unit:
Ca 0.0000 0.0000 0.0000  4 Cu 3.22, 4 Ca 3.22
Ca 0.2500 0.2500 0.2500  4 Pb 3.22, 4 Ca 3.22
Cu 0.2500 0.2500 0.7500  4 Pb 3.22, 4 Ca 3.22
Pb 0.0000 0.0000 0.5000  4 Ca 3.22, 4 Cu 3.22

**Total DFT energy (no corrections)**: -2.996 eV/atom



This record from Alexandria describes a geometry-optimized Ca2Cu2Pd5Pb structure. The functional is PBE-GGA.

a b c (Å): 9.6202 9.6202 3.9295
angles (deg): 90.00 90.00 90.00
Closest atoms and distances in Å follow each position.
Space group P4/mbm (No. 127)
Asymmetric unit:
Ca 0.1742 0.3258 0.0000  3 Cu 2.77-2.89, 2 Pd 3.08
Cu 0.1219 0.6219 0.0000  6 Pd 2.57-2.58, 1 Ca 2.77
Pd 0.0000 0.5000 0.5000  4 Cu 2.57, 4 Pd 2.85
Pd 0.0692 0.7882 0.5000  2 Cu 2.58, 1 Pd 2.85
Pb 0.0000 0.0000 0.0000  8 Pd 2.91

**Total DFT energy (no corrections)**: -4.685 eV/atom



This record from Alexandria describes a geometry-optimized CaPmCuPb structure. The functional is PBE-GGA.

a b c (Å): 7.5281 7.5281 7.5281
angles (deg): 90.00 90.00 90.00
Closest atoms and distances in Å follow each position.
Space group F-43m (No. 216)
Asymmetric unit:
Ca 0.0000 0.0000 0.0000  4 Pb 3.26, 4 Cu 3.26
Pm 0.0000 0.0000 0.5000  4 Cu 3.26, 4 Pb 3.26
Cu 0.2500 0.2500 0.2500  4 Ca 3.26, 4 Pm 3.26
Pb 0.2500 0.2500 0.7500  4 Pm 3.26, 4 Ca 3.26

**Total DFT energy (no corrections)**: -3.974 eV/atom



This record from Alexandria describes a geometry-optimized CaPuCuPb structure. The functional is PBE-GGA.

a b c (Å): 7.4779 7.4779 7.4779
angles (deg): 90.00 90.00 90.00
Closest atoms and distances in Å follow each position.
Space group F-43m (No. 216)
Asymmetric unit:
Ca 0.0000 0.0000 0.0000  4 Pb 3.24, 4 Cu 3.24
Pu 0.0000 0.0000 0.5000  4 Cu 3.24, 4 Pb 3.24
Cu 0.2500 0.2500 0.2500  4 Ca 3.24, 4 Pu 3.24
Pb 0.2500 0.2500 0.7500  4 Ca 3.24, 4 Pu 3.24

**Total DFT energy (no corrections)**: -6.121 eV/atom



This record from Alexandria describes a geometry-optimized Rb2CaCuPb structure. The functional is PBE-GGA.

a b c (Å): 6.6455 6.6455 5.0716
angles (deg): 90.00 90.00 90.00
Closest atoms and distances in Å follow each position.
Space group P4/mmm (No. 123)
Asymmetric unit:
Rb 0.0000 0.5000 0.0000  2 Cu 3.32
Ca 0.0000 0.0000 0.5000  8 Rb 4.18
Cu 0.5000 0.5000 0.0000  2 Pb 2.54
Pb 0.5000 0.5000 0.5000  2 Cu 2.54

**Total DFT energy (no corrections)**: -2.084 eV/atom



This record from Alexandria describes a geometry-optimized Ca2CuPbS structure. The functional is PBE-GGA.

a b c (Å): 5.5752 5.5752 4.7097
angles (deg): 90.00 90.00 90.00
Closest atoms and distances in Å follow each position.
Space group P4/mmm (No. 123)
Asymmetric unit:
Ca 0.0000 0.5000 0.0000  2 Cu 2.79
Cu 0.0000 0.0000 0.0000  2 Pb 2.35
Pb 0.0000 0.0000 0.5000  2 Cu 2.35
S 0.5000 0.5000 0.5000  8 Ca 3.65, 4 Pb 3.94

**Total DFT energy (no corrections)**: -3.436 eV/atom



This record from Alexandria describes a geometry-optimized CaSmCuPb structure. The functional is PBE-GGA.

a b c (Å): 7.5061 7.5061 7.5061
angles (deg): 90.00 90.00 90.00
Closest atoms and distances in Å follow each position.
Space group F-43m (No. 216)
Asymmetric unit:
Ca 0.0000 0.0000 0.0000  4 Cu 3.25, 4 Pb 3.25
Sm 0.0000 0.0000 0.5000  4 Pb 3.25, 4 Cu 3.25
Cu 0.2500 0.2500 0.7500  4 Ca 3.25, 4 Sm 3.25
Pb 0.2500 0.2500 0.2500  4 Ca 3.25, 4 Sm 3.25

**Total DFT energy (no corrections)**: -3.963 eV/atom



This record from Alexandria describes a geometry-optimized CaCuTePb2 structure. The functional is PBE-GGA.

a b c (Å): 5.0801 5.0801 5.9086
angles (deg): 90.00 90.00 90.00
Closest atoms and distances in Å follow each position.
Space group P4/mmm (No. 123)
Asymmetric unit:
Ca 0.0000 0.0000 0.0000  2 Cu 2.95
Cu 0.0000 0.0000 0.5000  4 Pb 2.54
Te 0.5000 0.5000 0.0000  4 Ca 3.59, 8 Pb 3.90
Pb 0.0000 0.5000 0.5000  2 Cu 2.54

**Total DFT energy (no corrections)**: -3.481 eV/atom



This record from Alexandria describes a geometry-optimized CaTlCuPb structure. The functional is PBE-GGA.

a b c (Å): 7.3343 7.3343 7.3343
angles (deg): 90.00 90.00 90.00
Closest atoms and distances in Å follow each position.
Space group F-43m (No. 216)
Asymmetric unit:
Ca 0.0000 0.0000 0.0000  4 Tl 3.18, 4 Pb 3.18
Tl 0.2500 0.2500 0.7500  4 Ca 3.18, 4 Cu 3.18
Cu 0.0000 0.0000 0.5000  4 Tl 3.18, 4 Pb 3.18
Pb 0.2500 0.2500 0.2500  4 Ca 3.18, 4 Cu 3.18

**Total DFT energy (no corrections)**: -3.103 eV/atom



This record from Alexandria describes a geometry-optimized CaYCuPb structure. The functional is PBE-GGA.

a b c (Å): 7.4314 7.4314 7.4314
angles (deg): 90.00 90.00 90.00
Closest atoms and distances in Å follow each position.
Space group F-43m (No. 216)
Asymmetric unit:
Ca 0.0000 0.0000 0.0000  4 Cu 3.22, 4 Pb 3.22
Y 0.0000 0.0000 0.5000  4 Pb 3.22, 4 Cu 3.22
Cu 0.2500 0.2500 0.2500  4 Y 3.22, 4 Ca 3.22
Pb 0.2500 0.2500 0.7500  4 Ca 3.22, 4 Y 3.22

**Total DFT energy (no corrections)**: -4.399 eV/atom



This record from Alexandria describes a geometry-optimized Ca2CuPd3 structure. The functional is PBE-GGA.

a b c (Å): 4.7922 5.4660 9.3096
angles (deg): 90.00 90.00 90.00
Closest atoms and distances in Å follow each position.
Space group Immm (No. 71)
Asymmetric unit:
Ca 0.0000 0.0000 0.1858  6 Pd 2.77-2.95, 1 Cu 2.93
Cu 0.0000 0.0000 0.5000  6 Pd 2.73, 2 Ca 2.93
Pd 0.0000 0.5000 0.1400  1 Pd 2.61, 2 Cu 2.73, 4 Ca 2.77-2.89
Pd 0.0000 0.5000 0.5000  2 Cu 2.73, 4 Ca 2.95

**Total DFT energy (no corrections)**: -4.232 eV/atom
**Distance to the lowest polymorph of the same formula**: 0.333 eV per atom



This record from Alexandria describes a geometry-optimized Ca3CuPd structure. The functional is PBE-GGA.

a b c (Å): 5.4938 5.4938 5.4938
angles (deg): 90.00 90.00 90.00
Closest atoms and distances in Å follow each position.
Space group Pm-3m (No. 221)
Asymmetric unit:
Ca 0.0000 0.0000 0.5000  2 Pd 2.75
Cu 0.5000 0.5000 0.5000  12 Ca 3.88
Pd 0.0000 0.0000 0.0000  6 Ca 2.75

**Total DFT energy (no corrections)**: -3.112 eV/atom
**Distance to the lowest polymorph of the same formula**: 0.327 eV per atom



This record from Alexandria describes a geometry-optimized CaCu4Pd6 structure. The functional is PBE-GGA.

a b c (Å): 6.5380 6.5380 9.2386
angles (deg): 90.00 90.00 90.00
Closest atoms and distances in Å follow each position.
Space group I-42m (No. 121)
Asymmetric unit:
Ca 0.0000 0.0000 0.0000  4 Cu 2.95, 4 Pd 3.27
Cu 0.2242 0.2242 0.3405  4 Pd 2.41-2.59
Pd 0.0000 0.5000 0.0000  4 Pd 2.69, 4 Cu 2.75
Pd 0.1513 0.1513 0.6111  4 Cu 2.41-2.59, 2 Pd 2.69

**Total DFT energy (no corrections)**: -4.424 eV/atom



This record from Alexandria describes a geometry-optimized Ca2Cu15Pd2 structure. The functional is PBE-GGA.

a b c (Å): 8.6905 8.6905 12.4889
angles (deg): 90.00 90.00 120.00
Closest atoms and distances in Å follow each position.
Space group R-3m (No. 166, hexagonal axes)
Asymmetric unit:
Ca 0.0000 0.0000 0.1585  1 Pd 2.95, 15 Cu 3.08-3.30
Cu 0.0000 0.2955 0.5000  8 Cu 2.46-2.61
Cu 0.0000 0.5000 0.0000  8 Cu 2.46-2.52, 2 Pd 2.62
Cu 0.0011 0.5005 0.6530  8 Cu 2.52-2.61, 1 Pd 2.68
Pd 0.0000 0.0000 0.3944  12 Cu 2.62-2.89, 1 Pd 2.64

**Total DFT energy (no corrections)**: -4.120 eV/atom



This record from Alexandria describes a geometry-optimized Ca6CuPd3 structure. The functional is PBE-GGA.

a b c (Å): 10.7857 4.2327 13.0617
angles (deg): 90.00 111.29 90.00
Closest atoms and distances in Å follow each position.
Space group P2_1/m (No. 11)
Asymmetric unit:
Ca 0.0212 0.2500 0.3911  3 Pd 2.88-3.00
Ca 0.0702 0.2500 0.9074  4 Pd 3.09-3.40
Ca 0.2474 0.7500 0.3264  3 Pd 2.94, 2 Cu 2.96
Ca 0.3401 0.7500 0.0974  5 Pd 2.95-3.22, 2 Cu 3.08
Ca 0.3432 0.7500 0.8018  3 Pd 2.92-3.25, 1 Cu 3.19
Ca 0.3935 0.2500 0.5758  2 Pd 2.89, 2 Cu 3.08
Cu 0.4129 0.2500 0.2810  1 Pd 2.67, 2 Ca 2.96
Pd 0.1534 0.2500 0.1598  1 Cu 2.67, 2 Ca 2.94
Pd 0.1982 0.7500 0.5332  6 Ca 2.88-3.00
Pd 0.4045 0.2500 0.9671  2 Pd 2.86, 5 Ca 2.92-3.16

**Total DFT energy (no corrections)**: -3.605 eV/atom



This record from Alexandria describes a geometry-optimized Ca2CuPd3 structure. The functional is PBE-GGA.

a b c (Å): 5.5708 5.5708 12.6229
angles (deg): 90.00 90.00 120.00
Closest atoms and distances in Å follow each position.
Space group R-3m (No. 166, hexagonal axes)
Asymmetric unit:
Ca 0.0000 0.0000 0.1272  9 Pd 3.06-3.22, 4 Ca 3.21-3.37, 3 Cu 3.25
Cu 0.0000 0.0000 0.5000  6 Pd 2.65
Pd 0.0000 0.5000 0.0000  2 Cu 2.65, 4 Pd 2.79

**Total DFT energy (no corrections)**: -4.565 eV/atom
**Distance to the lowest polymorph of the same formula**: 0.000 eV per atom



This record from Alexandria describes a geometry-optimized Ca3CuPd structure. The functional is PBE-GGA.

a b c (Å): 7.9904 4.1829 8.4378
angles (deg): 90.00 110.24 90.00
Closest atoms and distances in Å follow each position.
Space group P2_1/m (No. 11)
Asymmetric unit:
Ca 0.0944 0.2500 0.2304  3 Cu 3.04-3.13, 2 Pd 3.07
Ca 0.3135 0.2500 0.9314  3 Pd 3.01-3.14, 1 Cu 3.02
Ca 0.3653 0.7500 0.5939  3 Pd 3.08-3.32, 3 Cu 3.13-3.23
Cu 0.0503 0.2500 0.5736  2 Cu 2.42
Pd 0.3638 0.7500 0.2004  8 Ca 3.01-3.32

**Total DFT energy (no corrections)**: -3.439 eV/atom
**Distance to the lowest polymorph of the same formula**: 0.000 eV per atom



This record from Alexandria describes a geometry-optimized Ca6CuPd5 structure. The functional is PBE-GGA.

a b c (Å): 15.8055 7.1163 5.0000
angles (deg): 90.00 108.12 90.00
Closest atoms and distances in Å follow each position.
Space group C2/m (No. 12)
Asymmetric unit:
Ca 0.0000 0.2471 0.0000  6 Pd 3.06, 2 Cu 3.08
Ca 0.1683 0.2486 0.6683  7 Pd 3.06-3.09, 1 Cu 3.10
Cu 0.0000 0.5000 0.5000  8 Ca 3.08-3.10
Pd 0.0000 0.0000 0.5000  8 Ca 3.06-3.09
Pd 0.1646 0.5000 0.1646  8 Ca 3.06-3.08
Pd 0.1664 0.0000 0.1664  8 Ca 3.06

**Total DFT energy (no corrections)**: -4.089 eV/atom



This record from Alexandria describes a geometry-optimized Ca3CuPd8 structure. The functional is PBE-GGA.

a b c (Å): 5.4241 5.4241 26.4541
angles (deg): 90.00 90.00 120.00
Closest atoms and distances in Å follow each position.
Space group R3m (No. 160, hexagonal axes)
Asymmetric unit:
Ca 0.0000 0.0000 0.0000  12 Pd 3.18-3.19, 4 Ca 3.45
Ca 0.0000 0.0000 0.1303  12 Pd 3.03-3.24, 3 Cu 3.18
Ca 0.0000 0.0000 0.6122  9 Pd 3.02-3.25
Cu 0.0000 0.0000 0.4835  3 Pd 2.78
Pd 0.0000 0.0000 0.3122  6 Pd 2.72
Pd 0.0000 0.0000 0.8127  6 Pd 2.68-2.70
Pd 0.0005 0.5002 0.0631  6 Pd 2.70-2.72, 1 Cu 2.78
Pd 0.9999 0.5000 0.5616  6 Pd 2.68-2.72

**Total DFT energy (no corrections)**: -4.798 eV/atom



This record from Alexandria describes a geometry-optimized CaCu2Pd2 structure. The functional is PBE-GGA.

a b c (Å): 4.1048 4.1048 21.5040
angles (deg): 90.00 90.00 90.00
Closest atoms and distances in Å follow each position.
Space group I4/mmm (No. 139)
Asymmetric unit:
Ca 0.0000 0.0000 0.1229  8 Cu 3.13-3.42, 8 Pd 3.16-3.35
Cu 0.0000 0.0000 0.4313  5 Pd 2.42-2.53
Cu 0.0000 0.5000 0.2500  4 Pd 2.53
Pd 0.0000 0.0000 0.3187  5 Cu 2.42-2.53
Pd 0.0000 0.5000 0.0000  4 Cu 2.53

**Total DFT energy (no corrections)**: -4.379 eV/atom
**Distance to the lowest polymorph of the same formula**: 0.029 eV per atom